Record 1
VASP calculation (PBE) on crystalline PaTi2H at its relaxed geometry.

Cell: 3.035 3.035 22.511 Å, 90.00 90.00 120.00°
Positions (direct):
Pa1 0.000 0.000 0.000
Pa2 0.333 0.667 0.667
Pa3 0.667 0.333 0.333
Ti1 0.000 0.000 0.553
Ti2 0.000 0.000 0.780
Ti3 0.333 0.667 0.219
Ti4 0.333 0.667 0.447
Ti5 0.667 0.333 0.114
Ti6 0.667 0.333 0.886
H1 0.000 0.000 0.167
H2 0.333 0.667 0.833
H3 0.667 0.333 0.500

ΔE to the lowest computed polymorph = 0.00 kJ per mole of atoms

=====

Record 2
VASP calculation (PBE) on crystalline PaTlH at its relaxed geometry.

Cell: 6.098 6.098 6.428 Å, 90.00 90.00 75.70°
Positions (direct):
Pa1 0.209 0.791 0.816
Pa2 0.291 0.709 0.316
Pa3 0.709 0.291 0.684
Pa4 0.791 0.209 0.184
Tl1 0.225 0.225 0.500
Tl2 0.275 0.275 0.000
Tl3 0.725 0.725 0.000
Tl4 0.775 0.775 0.500
H1 0.071 0.929 0.111
H2 0.429 0.571 0.611
H3 0.571 0.429 0.389
H4 0.929 0.071 0.889

ΔE to the lowest computed polymorph = 4.76 kJ per mole of atoms

=====

Record 3
VASP calculation (PBE) on crystalline PaTlH at its relaxed geometry.

Cell: 3.362 3.362 5.725 Å, 90.00 90.00 120.00°
Positions (direct):
Pa1 0.000 0.000 0.000
Tl1 0.333 0.667 0.514
H1 0.667 0.333 0.180

ΔE to the lowest computed polymorph = 0.00 kJ per mole of atoms

=====

| no. | total energy (eV per atom) |
| --- | --- |
| 1 | -7.265 |
| 2 | -5.043 |
| 3 | -5.093 |